# 1
DFT (PBE) results for an optimized crystal structure of Lu4GaPN2.

a b c (Å): 3.4896 3.4896 13.3413
angles (deg): 90.00 90.00 120.00
Last column: nearest neighbours and their distance in Å.
Atoms (fractional coordinates):
Lu: 0.0000 0.0000 0.1349  3 N 2.42, 3 P 2.70
Lu: 0.0000 0.0000 0.8651  3 N 2.42, 3 P 2.70
Lu: 0.3333 0.6667 0.3311  3 N 2.38
Lu: 0.3333 0.6667 0.6689  3 N 2.38
Ga: 0.0000 0.0000 0.5000  6 Lu 3.02
P: 0.3333 0.6667 0.0000  6 Lu 2.70
N: 0.6667 0.3333 0.2357  6 Lu 2.38-2.42
N: 0.6667 0.3333 0.7643  6 Lu 2.38-2.42

Values from the calculation:
Symmetry = P-6m2 (187)
Total magnetic moment = 0.01 μB per formula unit

# 2
DFT (PBE) results for an optimized crystal structure of SiSbAu.

a b c (Å): 6.4009 4.2135 10.0178
angles (deg): 90.00 90.00 90.00
Last column: nearest neighbours and their distance in Å.
Atoms (fractional coordinates):
Si: 0.0582 0.2500 0.0677  3 Au 2.54-2.64, 2 Si 2.61, 1 Sb 2.63
Si: 0.4418 0.7500 0.5677  3 Au 2.54-2.64, 2 Si 2.61, 1 Sb 2.63
Si: 0.5582 0.2500 0.4323  3 Au 2.54-2.64, 2 Si 2.61, 1 Sb 2.63
Si: 0.9418 0.7500 0.9323  3 Au 2.54-2.64, 2 Si 2.61, 1 Sb 2.63
Sb: 0.0374 0.7500 0.6166  1 Si 2.63, 2 Au 2.83
Sb: 0.4626 0.2500 0.1166  1 Si 2.63, 2 Au 2.83
Sb: 0.5374 0.7500 0.8834  1 Si 2.63, 2 Au 2.83
Sb: 0.9626 0.2500 0.3834  1 Si 2.63, 2 Au 2.83
Au: 0.0372 0.2500 0.8044  3 Si 2.54-2.64, 2 Sb 2.83
Au: 0.4628 0.7500 0.3044  3 Si 2.54-2.64, 2 Sb 2.83
Au: 0.5372 0.2500 0.6956  3 Si 2.54-2.64, 2 Sb 2.83
Au: 0.9628 0.7500 0.1956  3 Si 2.54-2.64, 2 Sb 2.83

Values from the calculation:
ΔE to the lowest computed polymorph = 0.0 kJ/mol of atoms
Symmetry = Pnma (62)

# 3
DFT (PBE) results for an optimized crystal structure of LuW.

a b c (Å): 6.4636 6.4636 6.4636
angles (deg): 90.00 90.00 90.00
Last column: nearest neighbours and their distance in Å.
Atoms (fractional coordinates):
Lu: 0.0000 0.0000 0.0000  4 W 2.80
Lu: 0.0000 0.5000 0.5000  4 W 2.80
Lu: 0.5000 0.0000 0.5000  4 W 2.80
Lu: 0.5000 0.5000 0.0000  4 W 2.80
W: 0.2500 0.2500 0.7500  4 Lu 2.80
W: 0.2500 0.7500 0.2500  4 Lu 2.80
W: 0.7500 0.2500 0.2500  4 Lu 2.80
W: 0.7500 0.7500 0.7500  4 Lu 2.80

Values from the calculation:
ΔE to the lowest computed polymorph = 222.1 kJ/mol of atoms
Symmetry = F-43m (216)
Formation energy = 2.981 eV per atom
Total magnetic moment = 3.22 μB per formula unit

# 4
DFT (PBE) results for an optimized crystal structure of YMgAg2.

a b c (Å): 3.4914 3.4914 6.9780
angles (deg): 90.00 90.00 90.00
Last column: nearest neighbours and their distance in Å.
Atoms (fractional coordinates):
Y: 0.0000 0.0000 0.0000  8 Ag 3.12, 2 Mg 3.49, 4 Y 3.49
Mg: 0.0000 0.0000 0.5000  8 Ag 2.93
Ag: 0.5000 0.5000 0.2728  4 Mg 2.93, 4 Y 3.12, 1 Ag 3.17
Ag: 0.5000 0.5000 0.7272  4 Mg 2.93, 4 Y 3.12, 1 Ag 3.17

Values from the calculation:
Symmetry = P4/mmm (123)
Total magnetic moment = 0.00 μB per formula unit

# 5
DFT (PBE) results for an optimized crystal structure of Sm3Bi2As.

a b c (Å): 4.3976 4.3976 10.9595
angles (deg): 90.00 90.00 120.00
Last column: nearest neighbours and their distance in Å.
Atoms (fractional coordinates):
Sm: 0.0000 0.0000 0.0000  6 Bi 3.18
Sm: 0.3333 0.6667 0.6472  3 As 3.01, 3 Bi 3.20
Sm: 0.6667 0.3333 0.3528  3 As 3.01, 3 Bi 3.20
Bi: 0.3333 0.6667 0.1748  6 Sm 3.18-3.20
Bi: 0.6667 0.3333 0.8252  6 Sm 3.18-3.20
As: 0.0000 0.0000 0.5000  6 Sm 3.01

Values from the calculation:
Symmetry = P-3m1 (164)
Total magnetic moment = 0.01 μB per formula unit

# 6
DFT (PBE) results for an optimized crystal structure of BaLiPuS3.

a b c (Å): 7.0479 7.0479 10.3731
angles (deg): 90.00 90.00 145.82
Last column: nearest neighbours and their distance in Å.
Atoms (fractional coordinates):
Ba: 0.2454 0.7546 0.7500  6 S 3.17-3.30
Ba: 0.7546 0.2454 0.2500  6 S 3.17-3.30
Li: 0.0271 0.9729 0.2500  4 S 2.39-2.43
Li: 0.9729 0.0271 0.7500  4 S 2.39-2.43
Pu: 0.5000 0.5000 0.0000  6 S 2.75-2.79
Pu: 0.5000 0.5000 0.5000  6 S 2.75-2.79
S: 0.1298 0.8702 0.0623  1 Li 2.39
S: 0.1298 0.8702 0.4377  1 Li 2.39
S: 0.4332 0.5668 0.2500  2 Li 2.43
S: 0.5668 0.4332 0.7500  2 Li 2.43
S: 0.8702 0.1298 0.5623  1 Li 2.39
S: 0.8702 0.1298 0.9377  1 Li 2.39

Values from the calculation:
Symmetry = Cmcm (63)
Total magnetic moment = 5.02 μB per formula unit

Number 1: E -6.69 eV/atom. Number 2: E -4.19 eV/atom. Number 3: E -5.76 eV/atom. Number 4: E -3.69 eV/atom. Number 5: E -5.60 eV/atom. Number 6: E -6.84 eV/atom.